(1)
## DyMgCd2 (PBE-GGA)

Data for an optimized crystal structure of DyMgCd2.

Output
Its total magnetization is 0.292 Bohr magnetons per cell. As for the final energy: -2.24 eV per atom. Its space-group type is No. 123. The calculation puts the formation energy at -232 meV/atom.

Geometry as POSCAR:
```
DyMgCd2
1.0
3.3922 0.0000 0.0000
0.0000 3.3922 0.0000
0.0000 0.0000 8.1814
Dy Mg Cd
1 1 2
direct
0.0000 0.0000 0.0000 Dy
0.0000 0.0000 0.5000 Mg
0.5000 0.5000 0.2674 Cd
0.5000 0.5000 0.7326 Cd
```

(2)
## TbDy3Tl3Te8 (PBE-GGA)

Data for an optimized crystal structure of TbDy3Tl3Te8.

Output
Its total magnetization is 0.000 Bohr magnetons per cell. As for the final energy: -4.43 eV per atom. Its space-group type is No. 12. The calculation puts the formation energy without anion corrections at -1.054 eV/atom.

Geometry as POSCAR:
```
TbDy3Tl3Te8
1.0
7.6228 -4.3938 0.0000
7.6228 4.3938 0.0000
-5.0896 0.0000 8.1816
Tb Dy Tl Te
1 3 3 8
direct
0.0000 0.0000 0.0000 Tb
0.0000 0.5000 0.0000 Dy
0.5000 0.0000 0.0000 Dy
0.5000 0.5000 0.0000 Dy
0.0000 0.0000 0.5000 Tl
0.0000 0.5000 0.5000 Tl
0.5000 0.0000 0.5000 Tl
0.2400 0.2400 0.2157 Te
0.2400 0.7357 0.2157 Te
0.2614 0.2614 0.7843 Te
0.2643 0.7600 0.7843 Te
0.7357 0.2400 0.2157 Te
0.7386 0.7386 0.2157 Te
0.7600 0.2643 0.7843 Te
0.7600 0.7600 0.7843 Te
```

(3)
## Ac2HoTmS4 (PBE-GGA)

Data for an optimized crystal structure of Ac2HoTmS4.

Output
Its total magnetization is 0.000 Bohr magnetons per cell. As for the final energy: -6.19 eV per atom. Its space-group type is No. 10. The calculation puts the formation energy without anion corrections at -1.972 eV/atom.

Geometry as POSCAR:
```
Ac2HoTmS4
1.0
6.8996 0.0000 0.0000
0.0000 3.9665 0.0000
-2.2859 0.0000 7.0515
Ac Ho Tm S
2 1 1 4
direct
0.0000 0.0000 0.0000 Ac
0.5000 0.5000 0.0000 Ac
0.0000 0.5000 0.5000 Ho
0.5000 0.0000 0.5000 Tm
0.2396 0.0000 0.7139 S
0.2650 0.5000 0.2874 S
0.7350 0.5000 0.7126 S
0.7604 0.0000 0.2861 S
```

(4)
## BaReO4 (PBE-GGA)

Data for an optimized crystal structure of BaReO4.

Output
Its total magnetization is 4.011 Bohr magnetons per cell. As for the final energy: -7.77 eV per atom. Its space-group type is No. 14. The calculation puts the formation energy without anion corrections at -2.072 eV/atom.

Geometry as POSCAR:
```
BaReO4
1.0
6.4752 0.0000 0.0000
0.0000 9.1004 0.0000
-6.0297 0.0000 8.0301
Ba Re O
4 4 16
direct
0.0943 0.0468 0.3340 Ba
0.0943 0.4532 0.8340 Ba
0.9057 0.5468 0.1660 Ba
0.9057 0.9532 0.6660 Ba
0.4230 0.6895 0.6700 Re
0.4230 0.8105 0.1700 Re
0.5770 0.1895 0.8300 Re
0.5770 0.3105 0.3300 Re
0.2277 0.6454 0.1001 O
0.2277 0.8546 0.6001 O
0.2482 0.5725 0.4929 O
0.2482 0.9275 0.9929 O
0.2498 0.1913 0.7661 O
0.2498 0.3087 0.2661 O
0.4526 0.6399 0.8562 O
0.4526 0.8601 0.3562 O
0.5474 0.1399 0.6438 O
0.5474 0.3601 0.1438 O
0.7502 0.6913 0.7339 O
0.7502 0.8087 0.2339 O
0.7518 0.0725 0.0071 O
0.7518 0.4275 0.5071 O
0.7723 0.1454 0.3999 O
0.7723 0.3546 0.8999 O
```

(5)
## RbCr2AgCl8 (PBE-GGA)

Data for an optimized crystal structure of RbCr2AgCl8.

Output
Its total magnetization is 6.000 Bohr magnetons per cell. As for the final energy: -4.14 eV per atom. Its space-group type is No. 147. The calculation puts the formation energy without anion corrections at -0.989 eV/atom.

Geometry as POSCAR:
```
RbCr2AgCl8
1.0
6.7530 0.0000 0.0000
-3.3765 5.8483 0.0000
0.0000 0.0000 9.2385
Rb Cr Ag Cl
1 2 1 8
direct
0.0000 0.0000 0.0000 Rb
0.3333 0.6667 0.7406 Cr
0.6667 0.3333 0.2594 Cr
0.0000 0.0000 0.5000 Ag
0.0281 0.3317 0.6816 Cl
0.3036 0.9719 0.6816 Cl
0.3317 0.3036 0.3184 Cl
0.3333 0.6667 0.9778 Cl
0.6667 0.3333 0.0222 Cl
0.6683 0.6964 0.6816 Cl
0.6964 0.0281 0.3184 Cl
0.9719 0.6683 0.3184 Cl
```

(6)
## La3BeAlS7 (PBE-GGA)

Data for an optimized crystal structure of La3BeAlS7.

Output
Its total magnetization is 0.000 Bohr magnetons per cell. As for the final energy: -6.01 eV per atom. Its space-group type is No. 173. The calculation puts the formation energy without anion corrections at -1.743 eV/atom.

Geometry as POSCAR:
```
La3BeAlS7
1.0
10.1932 0.0000 0.0000
-5.0966 8.8276 0.0000
0.0000 0.0000 6.0099
La Be Al S
6 2 2 14
direct
0.1418 0.3919 0.0000 La
0.2500 0.8582 0.0000 La
0.3919 0.2500 0.5000 La
0.6081 0.7500 0.0000 La
0.7500 0.1418 0.5000 La
0.8582 0.6081 0.5000 La
0.3333 0.6667 0.4108 Be
0.6667 0.3333 0.9108 Be
0.0000 0.0000 0.3017 Al
0.0000 0.0000 0.8017 Al
0.0795 0.2163 0.5592 S
0.1124 0.5925 0.2835 S
0.1368 0.9205 0.5592 S
0.2163 0.1368 0.0592 S
0.3333 0.6667 0.7627 S
0.4075 0.5199 0.2835 S
0.4801 0.8876 0.2835 S
0.5199 0.1124 0.7835 S
0.5925 0.4801 0.7835 S
0.6667 0.3333 0.2627 S
0.7837 0.8632 0.5592 S
0.8632 0.0795 0.0592 S
0.8876 0.4075 0.7835 S
0.9205 0.7837 0.0592 S
```

(7)
## Ta2FeHg (PBE-GGA)

Data for an optimized crystal structure of Ta2FeHg.

Output
Its total magnetization is 1.027 Bohr magnetons per cell. As for the final energy: -7.79 eV per atom. Its space-group type is No. 160. The calculation puts the formation energy at 330 meV/atom.

Geometry as POSCAR:
```
Ta2FeHg
1.0
1.5290 0.8828 8.7605
-1.5290 0.8828 8.7605
0.0000 -1.7656 8.7605
Ta Fe Hg
2 1 1
direct
0.0000 0.0000 0.0000 Ta
0.2460 0.2460 0.2460 Ta
0.5113 0.5113 0.5113 Fe
0.7607 0.7607 0.7607 Hg
```

(8)
## TlH3S (PBE-GGA)

Data for an optimized crystal structure of TlH3S.

Output
Its total magnetization is 0.000 Bohr magnetons per cell. As for the final energy: -3.26 eV per atom. Its space-group type is No. 11.

Geometry as POSCAR:
```
TlH3S
1.0
3.8679 0.0000 0.0000
0.0000 4.2383 0.0000
-0.6339 0.0000 12.1942
Tl H S
2 6 2
direct
0.2387 0.2500 0.3905 Tl
0.7613 0.7500 0.6095 Tl
0.0933 0.0238 0.8554 H
0.0933 0.4762 0.8554 H
0.2534 0.7500 0.4953 H
0.7466 0.2500 0.5047 H
0.9067 0.5238 0.1446 H
0.9067 0.9762 0.1446 H
0.3198 0.2500 0.8896 S
0.6802 0.7500 0.1104 S
```